No. 1
Here is a geometry-optimized CaHoCu2 structure from Alexandria via LeMat-Bulk. Energies are from GGA-PBE.

```
4
Lattice="3.512 0.000 0.000 0.000 3.512 0.000 0.000 0.000 7.043" Properties=species:S:1:pos:R:3 pbc="T T T"
Ca 0.000 0.000 0.000
Ho 0.000 0.000 3.521
Cu 1.756 1.756 2.000
Cu 1.756 1.756 5.043
```

Formation energy from the elements ... -179 meV/atom
Symmetry ... No. 123
Polymorph energy (0 for the lowest one) ... 0.00 eV per formula unit

---

No. 2
Here is a geometry-optimized La2DyHo3Se6 structure from Alexandria via LeMat-Bulk. Energies are from GGA-PBE.

```
12
Lattice="9.061 -2.052 0.000 9.061 2.052 0.000 -2.063 0.000 8.126" Properties=species:S:1:pos:R:3 pbc="T T T"
La 2.330 0.000 2.713
La 13.729 0.000 5.414
Dy 9.061 0.000 0.000
Ho 1.353 0.000 6.779
Ho 8.030 0.000 4.063
Ho 14.707 0.000 1.348
Se -1.445 0.000 6.108
Se 4.140 0.000 7.569
Se 5.293 0.000 3.292
Se 10.766 0.000 4.835
Se 11.919 0.000 0.558
Se 17.504 0.000 2.018
```

Formation energy (no corrections) ... -21.81 eV/f.u.
Symmetry ... No. 12

---

The records above yield N(E_F) values of 2.7 6.1 states/eV/f.u., respectively.